(1)
Material: Zr2PC2
Method: DFT, PBE-GGA
State: relaxed

Computed properties:
Total DFT energy (no corrections), eV per atom: -8.141
DFT formation energy, eV/atom: 0.050
Offset from the most stable computed form, eV/atom: 0.210
Fermi-level density of states, states/eV/f.u.: 2.91

Structure (CIF):
```
data_Zr2PC2
_chemical_formula_sum 'Zr4 P2 C4'
_symmetry_space_group_name_H-M 'P 4/m b m'
_symmetry_Int_Tables_number 127
_symmetry_space_group_name_Hall '-P 4 2ab'
_cell_length_a 6.329
_cell_length_b 6.329
_cell_length_c 3.249
_cell_angle_alpha 90.00
_cell_angle_beta 90.00
_cell_angle_gamma 90.00
loop_
_atom_site_label
_atom_site_type_symbol
_atom_site_fract_x
_atom_site_fract_y
_atom_site_fract_z
Zr1 Zr 0.161 0.339 0.000
P1 P 0.000 0.000 0.500
C1 C 0.155 0.655 0.500
```


(2)
Material: Zr3P2C
Method: DFT, PBE-GGA
State: relaxed

Computed properties:
Total DFT energy (no corrections), eV per atom: -8.689
DFT formation energy, eV/atom: -1.074
Offset from the most stable computed form, eV/atom: 0.011
Fermi-level density of states, states/eV/f.u.: 1.61

Structure (CIF):
```
data_Zr3P2C
_chemical_formula_sum 'Zr12 P8 C4'
_symmetry_space_group_name_H-M 'C 1 2/c 1'
_symmetry_Int_Tables_number 15
_cell_length_a 6.391
_cell_length_b 10.842
_cell_length_c 6.197
_cell_angle_alpha 90.00
_cell_angle_beta 109.37
_cell_angle_gamma 90.00
loop_
_symmetry_equiv_pos_as_xyz
'x,y,z'
'-x,-y,-z'
'-x,y,-z+1/2'
'x,-y,z+1/2'
'x+1/2,y+1/2,z'
'-x+1/2,-y+1/2,-z'
'-x+1/2,y+1/2,-z+1/2'
'x+1/2,-y+1/2,z+1/2'
loop_
_atom_site_label
_atom_site_type_symbol
_atom_site_fract_x
_atom_site_fract_y
_atom_site_fract_z
Zr1 Zr 0.213 0.073 0.003
Zr2 Zr 0.250 0.250 0.500
P1 P 0.000 0.258 0.750
P2 P 0.000 0.419 0.250
C1 C 0.000 0.080 0.250
```


(3)
Material: Zr4PC2
Method: DFT, PBE-GGA
State: relaxed

Computed properties:
Total DFT energy (no corrections), eV per atom: -9.240
DFT formation energy, eV/atom: -0.947
Fermi-level density of states, states/eV/f.u.: 2.25

Structure (CIF):
```
data_Zr4PC2
_chemical_formula_sum 'Zr16 P4 C8'
_symmetry_space_group_name_H-M 'C m c m'
_symmetry_Int_Tables_number 63
_symmetry_space_group_name_Hall '-C 2c 2'
_cell_length_a 3.450
_cell_length_b 11.143
_cell_length_c 11.609
_cell_angle_alpha 90.00
_cell_angle_beta 90.00
_cell_angle_gamma 90.00
loop_
_atom_site_label
_atom_site_type_symbol
_atom_site_fract_x
_atom_site_fract_y
_atom_site_fract_z
Zr1 Zr 0.000 0.000 0.000
Zr2 Zr 0.000 0.267 0.110
Zr3 Zr 0.000 0.434 0.750
P1 P 0.000 0.107 0.750
C1 C 0.000 0.363 0.563
```


(4)
Material: ZrP3C
Method: DFT, PBE-GGA
State: relaxed

Computed properties:
Total DFT energy (no corrections), eV per atom: -4.972
DFT formation energy, eV/atom: 1.828
Offset from the most stable computed form, eV/atom: 1.311
Fermi-level density of states, states/eV/f.u.: 6.54

Structure (CIF):
```
data_ZrP3C
_chemical_formula_sum 'Zr1 P3 C1'
_symmetry_space_group_name_H-M 'P m -3 m'
_symmetry_Int_Tables_number 221
_symmetry_space_group_name_Hall '-P 4 2 3'
_cell_length_a 5.013
_cell_length_b 5.013
_cell_length_c 5.013
_cell_angle_alpha 90.00
_cell_angle_beta 90.00
_cell_angle_gamma 90.00
loop_
_atom_site_label
_atom_site_type_symbol
_atom_site_fract_x
_atom_site_fract_y
_atom_site_fract_z
Zr1 Zr 0.000 0.000 0.000
P1 P 0.000 0.000 0.500
C1 C 0.500 0.500 0.500
```


(5)
Material: Zr8P3C4
Method: DFT, PBE-GGA
State: relaxed

Computed properties:
Total DFT energy (no corrections), eV per atom: -8.954
DFT formation energy, eV/atom: -0.853
Fermi-level density of states, states/eV/f.u.: 6.49

Structure (CIF):
```
data_Zr8P3C4
_chemical_formula_sum 'Zr16 P6 C8'
_symmetry_space_group_name_H-M 'C 1 2/m 1'
_symmetry_Int_Tables_number 12
_cell_length_a 9.967
_cell_length_b 9.966
_cell_length_c 6.976
_cell_angle_alpha 90.00
_cell_angle_beta 134.34
_cell_angle_gamma 90.00
loop_
_symmetry_equiv_pos_as_xyz
'x,y,z'
'-x,-y,-z'
'-x,y,-z'
'x,-y,z'
'x+1/2,y+1/2,z'
'-x+1/2,-y+1/2,-z'
'-x+1/2,y+1/2,-z'
'x+1/2,-y+1/2,z'
loop_
_atom_site_label
_atom_site_type_symbol
_atom_site_fract_x
_atom_site_fract_y
_atom_site_fract_z
Zr1 Zr 0.000 0.236 0.000
Zr2 Zr 0.000 0.237 0.500
Zr3 Zr 0.220 0.000 0.465
Zr4 Zr 0.231 0.000 0.981
P1 P 0.000 0.500 0.500
P2 P 0.250 0.250 0.500
C1 C 0.000 0.000 0.000
C2 C 0.000 0.000 0.500
C3 C 0.250 0.250 0.000
```


(6)
Material: Zr3PC
Method: DFT, PBE-GGA
State: relaxed

Computed properties:
Total DFT energy (no corrections), eV per atom: -8.401
DFT formation energy, eV/atom: -0.346
Fermi-level density of states, states/eV/f.u.: 3.29

Structure (CIF):
```
data_Zr3PC
_chemical_formula_sum 'Zr3 P1 C1'
_symmetry_space_group_name_H-M 'P m -3 m'
_symmetry_Int_Tables_number 221
_symmetry_space_group_name_Hall '-P 4 2 3'
_cell_length_a 4.471
_cell_length_b 4.471
_cell_length_c 4.471
_cell_angle_alpha 90.00
_cell_angle_beta 90.00
_cell_angle_gamma 90.00
loop_
_atom_site_label
_atom_site_type_symbol
_atom_site_fract_x
_atom_site_fract_y
_atom_site_fract_z
Zr1 Zr 0.000 0.000 0.500
P1 P 0.500 0.500 0.500
C1 C 0.000 0.000 0.000
```


(7)
Material: Zr3P2C
Method: DFT, PBE-GGA
State: relaxed

Computed properties:
Total DFT energy (no corrections), eV per atom: -8.699
DFT formation energy, eV/atom: -1.085
Offset from the most stable computed form, eV/atom: 0.000
Fermi-level density of states, states/eV/f.u.: 2.44

Structure (CIF):
```
data_Zr3P2C
_chemical_formula_sum 'Zr6 P4 C2'
_symmetry_space_group_name_H-M 'I 4/m m m'
_symmetry_Int_Tables_number 139
_symmetry_space_group_name_Hall '-I 4 2'
_cell_length_a 3.618
_cell_length_b 3.618
_cell_length_c 15.602
_cell_angle_alpha 90.00
_cell_angle_beta 90.00
_cell_angle_gamma 90.00
loop_
_atom_site_label
_atom_site_type_symbol
_atom_site_fract_x
_atom_site_fract_y
_atom_site_fract_z
Zr1 Zr 0.000 0.000 0.000
Zr2 Zr 0.000 0.000 0.356
P1 P 0.000 0.000 0.171
C1 C 0.000 0.000 0.500
```


(8)
Material: Zr6P2C
Method: DFT, PBE-GGA
State: relaxed

Computed properties:
Total DFT energy (no corrections), eV per atom: -8.852
DFT formation energy, eV/atom: -0.927
Fermi-level density of states, states/eV/f.u.: 6.43

Structure (CIF):
```
data_Zr6P2C
_chemical_formula_sum 'Zr12 P4 C2'
_symmetry_space_group_name_H-M 'C 1 2/m 1'
_symmetry_Int_Tables_number 12
_cell_length_a 10.874
_cell_length_b 3.542
_cell_length_c 8.555
_cell_angle_alpha 90.00
_cell_angle_beta 90.52
_cell_angle_gamma 90.00
loop_
_symmetry_equiv_pos_as_xyz
'x,y,z'
'-x,-y,-z'
'-x,y,-z'
'x,-y,z'
'x+1/2,y+1/2,z'
'-x+1/2,-y+1/2,-z'
'-x+1/2,y+1/2,-z'
'x+1/2,-y+1/2,z'
loop_
_atom_site_label
_atom_site_type_symbol
_atom_site_fract_x
_atom_site_fract_y
_atom_site_fract_z
Zr1 Zr 0.064 0.000 0.252
Zr2 Zr 0.135 0.500 0.948
Zr3 Zr 0.140 0.500 0.551
P1 P 0.246 0.000 0.748
C1 C 0.000 0.000 0.000
```


(9)
Material: Zr7P2C2
Method: DFT, PBE-GGA
State: relaxed

Computed properties:
Total DFT energy (no corrections), eV per atom: -8.547
DFT formation energy, eV/atom: -0.447
Fermi-level density of states, states/eV/f.u.: 11.15

Structure (CIF):
```
data_Zr7P2C2
_chemical_formula_sum 'Zr14 P4 C4'
_symmetry_space_group_name_H-M 'C 1 2/m 1'
_symmetry_Int_Tables_number 12
_cell_length_a 7.118
_cell_length_b 10.494
_cell_length_c 6.384
_cell_angle_alpha 90.00
_cell_angle_beta 101.02
_cell_angle_gamma 90.00
loop_
_symmetry_equiv_pos_as_xyz
'x,y,z'
'-x,-y,-z'
'-x,y,-z'
'x,-y,z'
'x+1/2,y+1/2,z'
'-x+1/2,-y+1/2,-z'
'-x+1/2,y+1/2,-z'
'x+1/2,-y+1/2,z'
loop_
_atom_site_label
_atom_site_type_symbol
_atom_site_fract_x
_atom_site_fract_y
_atom_site_fract_z
Zr1 Zr 0.000 0.000 0.000
Zr2 Zr 0.082 0.500 0.785
Zr3 Zr 0.228 0.294 0.224
P1 P 0.000 0.313 0.500
C1 C 0.217 0.500 0.137
```


(10)
Material: Pa3C2
Method: DFT, PBE-GGA
State: relaxed

Computed properties:
Total DFT energy (no corrections), eV per atom: -9.652
DFT formation energy, eV/atom: -0.265
Offset from the most stable computed form, eV/atom: 0.063
Fermi-level density of states, states/eV/f.u.: 6.68

Structure (CIF):
```
data_Pa3C2
_chemical_formula_sum 'Pa18 C12'
_symmetry_space_group_name_H-M 'R -3 c'
_symmetry_Int_Tables_number 167
_symmetry_space_group_name_Hall '-R 3 2"c'
_cell_length_a 5.9880
_cell_length_b 5.9880
_cell_length_c 17.8735
_cell_angle_alpha 90.00
_cell_angle_beta 90.00
_cell_angle_gamma 120.00
loop_
_atom_site_label
_atom_site_type_symbol
_atom_site_fract_x
_atom_site_fract_y
_atom_site_fract_z
Pa1 Pa 0.0000 0.3300 0.2500
C1 C 0.0000 0.0000 0.1639
```


(11)
Material: PaC2
Method: DFT, PBE-GGA
State: relaxed

Computed properties:
Total DFT energy (no corrections), eV per atom: -9.528
DFT formation energy, eV/atom: -0.213
Offset from the most stable computed form, eV/atom: 0.060
Fermi-level density of states, states/eV/f.u.: 1.60

Structure (CIF):
```
data_PaC2
_chemical_formula_sum 'Pa2 C4'
_symmetry_space_group_name_H-M 'P 42/m n m'
_symmetry_Int_Tables_number 136
_symmetry_space_group_name_Hall '-P 4n 2n'
_cell_length_a 4.218
_cell_length_b 4.218
_cell_length_c 4.896
_cell_angle_alpha 90.00
_cell_angle_beta 90.00
_cell_angle_gamma 90.00
loop_
_atom_site_label
_atom_site_type_symbol
_atom_site_fract_x
_atom_site_fract_y
_atom_site_fract_z
Pa1 Pa 0.000 0.000 0.000
C1 C 0.114 0.114 0.500
```


(12)
Material: Pa3C
Method: DFT, PBE-GGA
State: relaxed

Computed properties:
Total DFT energy (no corrections), eV per atom: -9.598
DFT formation energy, eV/atom: -0.170
Offset from the most stable computed form, eV/atom: 0.000
Fermi-level density of states, states/eV/f.u.: 4.03

Structure (CIF):
```
data_Pa3C
_chemical_formula_sum 'Pa6 C2'
_symmetry_space_group_name_H-M 'I 4/m m m'
_symmetry_Int_Tables_number 139
_symmetry_space_group_name_Hall '-I 4 2'
_cell_length_a 3.534
_cell_length_b 3.534
_cell_length_c 13.686
_cell_angle_alpha 90.00
_cell_angle_beta 90.00
_cell_angle_gamma 90.00
loop_
_atom_site_label
_atom_site_type_symbol
_atom_site_fract_x
_atom_site_fract_y
_atom_site_fract_z
Pa1 Pa 0.000 0.000 0.000
Pa2 Pa 0.000 0.000 0.330
C1 C 0.000 0.000 0.500
```